No. 1
Compound: CaTbInSn
Source: the Alexandria database
Functional: PBE
Structure: relaxed

abc: 5.389 5.389 5.389
angles: 60.00 60.00 60.00
Element x y z (fractional)
Ca  0.500  0.500  0.500
Tb  0.000  0.000  0.000
Sn  0.750  0.750  0.750
In  0.250  0.250  0.250

The value obtained for the density of states at the Fermi level is 1.71 states/eV per cell. The value obtained for the final energy is -15.395 eV per cell. The value obtained for the formation energy is -11.7 kcal/mol of atoms. Its crystal system is cubic.



No. 2
Compound: CaInSn2Te4
Source: the Alexandria database
Functional: PBE
Structure: relaxed

abc: 4.486 7.837 7.894
angles: 70.36 90.00 90.00
Element x y z (fractional)
Ca  0.000  0.500  0.500
In  0.500  0.500  0.000
Sn  0.000  0.000  0.000
Sn  0.500  0.000  0.500
Te  0.000  0.749  0.751
Te  0.000  0.251  0.249
Te  0.500  0.749  0.252
Te  0.500  0.251  0.748

The calculation puts the uncorrected formation energy at -0.585 eV/atom. The value obtained for the density of states at the Fermi level is 3.22 states/eV per cell. The value obtained for the final energy is -29.993 eV per cell. Its crystal system is monoclinic.



No. 3
Compound: CaTmInSn
Source: the Alexandria database
Functional: PBE
Structure: relaxed

abc: 5.351 5.351 5.351
angles: 60.00 60.00 60.00
Element x y z (fractional)
Ca  0.750  0.750  0.750
Tm  0.250  0.250  0.250
Sn  0.500  0.500  0.500
In  0.000  0.000  0.000

The value obtained for the density of states at the Fermi level is 2.18 states/eV per cell. The value obtained for the final energy is -15.097 eV per cell. The value obtained for the formation energy is -10.9 kcal/mol of atoms. Its crystal system is cubic.